(1)
Below is a relaxed Cu2GeW crystal, with properties calculated at the PBE level.

CIF file:
```
data_Cu2GeW
_space_group_name_H-M_alt 'I -4 2 d'
_space_group_IT_number 122
_space_group_name_Hall 'I -4 2bw'
_cell_length_a 6.831
_cell_length_b 6.831
_cell_length_c 5.084
_cell_angle_alpha 90.00
_cell_angle_beta 90.00
_cell_angle_gamma 90.00
loop_
_atom_site_label
_atom_site_fract_x
_atom_site_fract_y
_atom_site_fract_z
_atom_site_occupancy
Cu1 0.229 0.250 0.125 1
Ge1 0.000 0.000 0.000 1
W1 0.000 0.000 0.500 1
```

Magnetic moment = 0.00 μB/atom
Formation energy from the elements = 2.15 eV per formula unit

(2)
Below is a relaxed Cu3GeW crystal, with properties calculated at the PBE level.

CIF file:
```
data_Cu3GeW
_space_group_name_H-M_alt 'P m -3 m'
_space_group_IT_number 221
_space_group_name_Hall '-P 4 2 3'
_cell_length_a 4.325
_cell_length_b 4.325
_cell_length_c 4.325
_cell_angle_alpha 90.00
_cell_angle_beta 90.00
_cell_angle_gamma 90.00
loop_
_atom_site_label
_atom_site_fract_x
_atom_site_fract_y
_atom_site_fract_z
_atom_site_occupancy
Cu1 0.000 0.000 0.500 1
Ge1 0.000 0.000 0.000 1
W1 0.500 0.500 0.500 1
```

Magnetic moment = 0.00 μB/atom
Formation energy from the elements = 6.39 eV per formula unit
E above lowest polymorph = 0 meV per atom